First-principles (PBE) data for a relaxed PbBr5 crystal, as listed in Alexandria via LeMat-Bulk.

* excess energy over the best structure of this formula in the dataset: 0.0000 eV/atom
* SG: Cm (8)
* ρ: 4.4 Mg/m³
* formation energy without anion corrections: -0.348 eV/atom

a = 5.8432 Å, b = 5.8432 Å, c = 10.9038 Å
α = 64.03°, β = 64.03°, γ = 43.74°
Last column: nearest neighbours and their distance in Å.
Sites, in units of the cell vectors:
Pb (0.1900, 0.1900, 0.0299)  7 Br 3.02-3.25
Br (0.9180, 0.9180, 0.0170)  3 Pb 3.02-3.25, 1 Br 3.35
Br (0.6382, 0.6382, 0.6469)  1 Br 2.45
Br (0.5145, 0.5145, 0.2453)  1 Br 2.77
Br (0.7820, 0.7820, 0.7979)  1 Br 2.75
Br (0.6240, 0.6240, 0.4296)  1 Br 2.45

=====

First-principles (PBE) data for a relaxed Ga3Cu3Hg crystal, as listed in Alexandria via LeMat-Bulk.

* DFT formation energy: 0.4186 eV per atom
* SG: Pm-3n (223)
* ρ: 6.3 Mg/m³

a = 6.8212 Å, b = 6.8212 Å, c = 6.8212 Å
α = 90.00°, β = 90.00°, γ = 90.00°
Last column: nearest neighbours and their distance in Å.
Sites, in units of the cell vectors:
Cu (0.0000, 0.2500, 0.5000)  4 Ga 2.41
Cu (0.0000, 0.7500, 0.5000)  4 Ga 2.41
Cu (0.5000, 0.0000, 0.7500)  4 Ga 2.41
Cu (0.7500, 0.5000, 0.0000)  4 Ga 2.41
Cu (0.5000, 0.0000, 0.2500)  4 Ga 2.41
Cu (0.2500, 0.5000, 0.0000)  4 Ga 2.41
Hg (0.5000, 0.5000, 0.5000)  12 Cu 3.81, 12 Ga 3.81
Hg (0.0000, 0.0000, 0.0000)  12 Cu 3.81, 12 Ga 3.81
Ga (0.2500, 0.0000, 0.5000)  4 Cu 2.41
Ga (0.0000, 0.5000, 0.2500)  4 Cu 2.41
Ga (0.5000, 0.7500, 0.0000)  4 Cu 2.41
Ga (0.7500, 0.0000, 0.5000)  4 Cu 2.41
Ga (0.0000, 0.5000, 0.7500)  4 Cu 2.41
Ga (0.5000, 0.2500, 0.0000)  4 Cu 2.41

=====

First-principles (PBE) data for a relaxed TbNdU2P4 crystal, as listed in Alexandria via LeMat-Bulk.

* DFT formation energy: -1.2679 eV per atom
* SG: P2/m (10)
* ρ: 8.2 Mg/m³

a = 3.9887 Å, b = 7.0367 Å, c = 6.9074 Å
α = 70.89°, β = 90.00°, γ = 90.00°
Last column: nearest neighbours and their distance in Å.
Sites, in units of the cell vectors:
Tb (0.0000, 0.5000, 0.5000)  6 P 2.87
Nd (0.5000, 0.5000, 0.0000)  6 P 2.90-2.91
U (0.0000, 0.0000, 0.0000)  6 P 2.81
U (0.5000, 0.0000, 0.5000)  6 P 2.78
P (0.0000, 0.7637, 0.7412)  3 U 2.78-2.81, 1 Tb 2.87, 2 Nd 2.91
P (0.0000, 0.2363, 0.2588)  3 U 2.78-2.81, 1 Tb 2.87, 2 Nd 2.91
P (0.5000, 0.7603, 0.2507)  3 U 2.78-2.81, 2 Tb 2.87, 1 Nd 2.90
P (0.5000, 0.2397, 0.7493)  3 U 2.78-2.81, 2 Tb 2.87, 1 Nd 2.90

=====

First-principles (PBE) data for a relaxed DyY2In crystal, as listed in Alexandria via LeMat-Bulk.

* excess energy over the best structure of this formula in the dataset: 0.1137 eV/atom
* DFT formation energy: -0.1593 eV per atom
* SG: R3m (160)
* ρ: 6.2 Mg/m³

a = 3.6072 Å, b = 3.6072 Å, c = 11.0295 Å
α = 80.59°, β = 80.59°, γ = 60.02°
Last column: nearest neighbours and their distance in Å.
Sites, in units of the cell vectors:
Dy (0.5001, 0.5001, 0.4997)  6 Y 3.55, 6 Dy 3.61
Y (0.0781, 0.0781, 0.7656)  3 In 3.29, 3 Dy 3.55, 6 Y 3.61
Y (0.2553, 0.2553, 0.2341)  3 In 3.28, 3 Dy 3.55, 6 Y 3.61
In (0.6664, 0.6664, 0.0006)  6 Y 3.28-3.29, 6 In 3.61

=====

First-principles (PBE) data for a relaxed SmDy6HoTm2 crystal, as listed in Alexandria via LeMat-Bulk.

* DFT formation energy: 0.1216 eV per atom
* SG: C2/c (15)
* ρ: 8.5 Mg/m³

a = 9.4706 Å, b = 8.7375 Å, c = 8.7375 Å
α = 117.55°, β = 93.56°, γ = 93.56°
Last column: nearest neighbours and their distance in Å.
Sites, in units of the cell vectors:
Sm (0.2500, 0.9736, 0.0264)  4 Tm 3.37-3.42, 4 Dy 3.55-3.66
Sm (0.7500, 0.0264, 0.9736)  4 Tm 3.37-3.42, 4 Dy 3.55-3.66
Dy (0.0560, 0.1216, 0.7530)  7 Dy 3.38-3.71, 1 Tm 3.47, 1 Sm 3.66
Dy (0.4440, 0.2470, 0.8784)  7 Dy 3.38-3.71, 1 Tm 3.47, 1 Sm 3.66
Dy (0.9440, 0.8784, 0.2470)  7 Dy 3.38-3.71, 1 Tm 3.47, 1 Sm 3.66
Dy (0.5560, 0.7530, 0.1216)  7 Dy 3.38-3.71, 1 Tm 3.47, 1 Sm 3.66
Dy (0.3170, 0.9834, 0.4352)  3 Dy 3.19-3.55, 2 Tm 3.38-3.56, 1 Ho 3.44, 1 Sm 3.55
Dy (0.1830, 0.5648, 0.0166)  3 Dy 3.19-3.55, 2 Tm 3.38-3.56, 1 Ho 3.44, 1 Sm 3.55
Dy (0.6830, 0.0166, 0.5648)  3 Dy 3.19-3.55, 2 Tm 3.38-3.56, 1 Ho 3.44, 1 Sm 3.55
Dy (0.8170, 0.4352, 0.9834)  3 Dy 3.19-3.55, 2 Tm 3.38-3.56, 1 Ho 3.44, 1 Sm 3.55
Dy (0.1185, 0.7081, 0.4908)  4 Dy 3.19-3.50, 3 Tm 3.25-3.40, 2 Ho 3.39-3.51
Dy (0.3815, 0.5092, 0.2919)  4 Dy 3.19-3.50, 3 Tm 3.25-3.40, 2 Ho 3.39-3.51
Dy (0.8815, 0.2919, 0.5092)  4 Dy 3.19-3.50, 3 Tm 3.25-3.40, 2 Ho 3.39-3.51
Dy (0.6185, 0.4908, 0.7081)  4 Dy 3.19-3.50, 3 Tm 3.25-3.40, 2 Ho 3.39-3.51
Ho (0.2500, 0.4096, 0.5904)  6 Dy 3.39-3.51, 2 Tm 3.51
Ho (0.7500, 0.5904, 0.4096)  6 Dy 3.39-3.51, 2 Tm 3.51
Tm (0.4535, 0.8008, 0.6961)  6 Dy 3.25-3.56, 2 Sm 3.37-3.42, 1 Ho 3.51
Tm (0.0465, 0.3039, 0.1992)  6 Dy 3.25-3.56, 2 Sm 3.37-3.42, 1 Ho 3.51
Tm (0.5465, 0.1992, 0.3039)  6 Dy 3.25-3.56, 2 Sm 3.37-3.42, 1 Ho 3.51
Tm (0.9535, 0.6961, 0.8008)  6 Dy 3.25-3.56, 2 Sm 3.37-3.42, 1 Ho 3.51

=====

First-principles (PBE) data for a relaxed PrTmIrAu crystal, as listed in Alexandria via LeMat-Bulk.

* DFT formation energy: -0.7231 eV per atom
* SG: F-43m (216)
* ρ: 12.8 Mg/m³

a = 5.0418 Å, b = 5.0418 Å, c = 5.0418 Å
α = 60.00°, β = 60.00°, γ = 60.00°
Last column: nearest neighbours and their distance in Å.
Sites, in units of the cell vectors:
Pr (0.2500, 0.2500, 0.2500)  4 Ir 3.09, 4 Au 3.09
Tm (0.7500, 0.7500, 0.7500)  4 Au 3.09, 4 Ir 3.09
Ir (0.0000, 0.0000, 0.0000)  4 Tm 3.09, 4 Pr 3.09
Au (0.5000, 0.5000, 0.5000)  4 Pr 3.09, 4 Tm 3.09

=====

First-principles (PBE) data for a relaxed PAuS2F crystal, as listed in Alexandria via LeMat-Bulk.

* excess energy over the best structure of this formula in the dataset: 0.0442 eV/atom
* SG: P4/mmm (123)
* ρ: 4.5 Mg/m³
* formation energy without anion corrections: 0.924 eV/atom

a = 4.9521 Å, b = 4.9521 Å, c = 4.7198 Å
α = 90.00°, β = 90.00°, γ = 90.00°
Last column: nearest neighbours and their distance in Å.
Sites, in units of the cell vectors:
P (0.0000, 0.0000, 0.5000)  2 Au 2.36
S (0.0000, 0.5000, 0.0000)  2 Au 2.48
S (0.5000, 0.0000, 0.0000)  2 Au 2.48
Au (0.0000, 0.0000, 0.0000)  2 P 2.36, 4 S 2.48
F (0.5000, 0.5000, 0.5000)  8 S 3.42, 4 P 3.50

=====

First-principles (PBE) data for a relaxed Sc2Ru2N crystal, as listed in Alexandria via LeMat-Bulk.

* excess energy over the best structure of this formula in the dataset: 0.0000 eV/atom
* SG: P4/mbm (127)
* ρ: 6.8 Mg/m³
* formation energy without anion corrections: 0.038 eV/atom

a = 5.7282 Å, b = 5.7282 Å, c = 4.5389 Å
α = 90.00°, β = 90.00°, γ = 90.00°
Last column: nearest neighbours and their distance in Å.
Sites, in units of the cell vectors:
Sc (0.1653, 0.6653, 0.5000)  2 Ru 2.62, 1 Sc 2.68
Sc (0.6653, 0.8347, 0.5000)  2 Ru 2.62, 1 Sc 2.68
Sc (0.8347, 0.3347, 0.5000)  2 Ru 2.62, 1 Sc 2.68
Sc (0.3347, 0.1653, 0.5000)  2 Ru 2.62, 1 Sc 2.68
Ru (0.3268, 0.8268, 0.0000)  2 N 2.12
Ru (0.8268, 0.6732, 0.0000)  2 N 2.12
Ru (0.6732, 0.1732, 0.0000)  2 N 2.12
Ru (0.1732, 0.3268, 0.0000)  2 N 2.12
N (0.0000, 0.0000, 0.0000)  4 Ru 2.12
N (0.5000, 0.5000, 0.0000)  4 Ru 2.12

=====

First-principles (PBE) data for a relaxed CeDyTePb crystal, as listed in Alexandria via LeMat-Bulk.

* excess energy over the best structure of this formula in the dataset: 0.0000 eV/atom
* SG: R3m (160)
* ρ: 8.3 Mg/m³
* formation energy without anion corrections: -0.896 eV/atom

a = 4.4837 Å, b = 4.4837 Å, c = 7.7367 Å
α = 73.16°, β = 73.16°, γ = 60.00°
Last column: nearest neighbours and their distance in Å.
Sites, in units of the cell vectors:
Ce (0.9463, 0.9463, 0.1612)  3 Pb 3.17, 3 Te 3.23
Dy (0.4424, 0.4424, 0.6728)  3 Pb 3.12, 3 Te 3.15
Te (0.1915, 0.1915, 0.4256)  3 Dy 3.15, 3 Ce 3.23
Pb (0.6963, 0.6963, 0.9111)  3 Dy 3.12, 3 Ce 3.17

=====

First-principles (PBE) data for a relaxed Pr4Er2Tm3 crystal, as listed in Alexandria via LeMat-Bulk.

* excess energy over the best structure of this formula in the dataset: 0.0000 eV/atom
* DFT formation energy: 0.0911 eV per atom
* SG: C2/c (15)
* ρ: 7.9 Mg/m³

a = 6.0064 Å, b = 10.2661 Å, c = 10.2661 Å
α = 69.90°, β = 83.86°, γ = 83.86°
Last column: nearest neighbours and their distance in Å.
Sites, in units of the cell vectors:
Pr (0.5429, 0.0492, 0.8230)  3 Pr 3.42-3.51, 4 Tm 3.43-3.58, 1 Er 3.66
Pr (0.9572, 0.1770, 0.9508)  3 Pr 3.42-3.51, 4 Tm 3.43-3.58, 1 Er 3.66
Pr (0.4572, 0.9508, 0.1770)  3 Pr 3.42-3.51, 4 Tm 3.43-3.58, 1 Er 3.66
Pr (0.0428, 0.8230, 0.0492)  3 Pr 3.42-3.51, 4 Tm 3.43-3.58, 1 Er 3.66
Pr (0.6156, 0.8368, 0.6152)  2 Er 3.30-3.46, 4 Tm 3.41-3.53, 2 Pr 3.51-3.61
Pr (0.8844, 0.3848, 0.1632)  2 Er 3.30-3.46, 4 Tm 3.41-3.53, 2 Pr 3.51-3.61
Pr (0.3844, 0.1632, 0.3848)  2 Er 3.30-3.46, 4 Tm 3.41-3.53, 2 Pr 3.51-3.61
Pr (0.1156, 0.6152, 0.8368)  2 Er 3.30-3.46, 4 Tm 3.41-3.53, 2 Pr 3.51-3.61
Er (0.2005, 0.7082, 0.4956)  3 Pr 3.30-3.66, 1 Er 3.40, 4 Tm 3.42-3.55
Er (0.2995, 0.5044, 0.2918)  3 Pr 3.30-3.66, 1 Er 3.40, 4 Tm 3.42-3.55
Er (0.7995, 0.2918, 0.5044)  3 Pr 3.30-3.66, 1 Er 3.40, 4 Tm 3.42-3.55
Er (0.7005, 0.4956, 0.7082)  3 Pr 3.30-3.66, 1 Er 3.40, 4 Tm 3.42-3.55
Tm (0.0785, 0.9810, 0.6789)  7 Pr 3.41-3.58, 1 Er 3.43, 1 Tm 3.77
Tm (0.4215, 0.3211, 0.0190)  7 Pr 3.41-3.58, 1 Er 3.43, 1 Tm 3.77
Tm (0.9215, 0.0190, 0.3211)  7 Pr 3.41-3.58, 1 Er 3.43, 1 Tm 3.77
Tm (0.5785, 0.6789, 0.9810)  7 Pr 3.41-3.58, 1 Er 3.43, 1 Tm 3.77
Tm (0.2500, 0.3536, 0.6464)  6 Er 3.42-3.55, 4 Pr 3.43-3.81
Tm (0.7500, 0.6464, 0.3536)  6 Er 3.42-3.55, 4 Pr 3.43-3.81

=====

First-principles (PBE) data for a relaxed Ac6HgIr3S2 crystal, as listed in Alexandria via LeMat-Bulk.

* SG: C2/m (12)
* ρ: 9.9 Mg/m³
* formation energy without anion corrections: -1.052 eV/atom

a = 4.3504 Å, b = 9.0188 Å, c = 9.9323 Å
α = 103.75°, β = 102.65°, γ = 90.00°
Last column: nearest neighbours and their distance in Å.
Sites, in units of the cell vectors:
Ac (0.3206, 0.9141, 0.6413)  3 Ir 2.95-3.07, 2 S 3.23
Ac (0.6627, 0.6032, 0.3253)  3 Ir 3.05-3.06, 3 S 3.13-3.21
Ac (0.6794, 0.0859, 0.3587)  3 Ir 2.95-3.07, 2 S 3.23
Ac (0.0018, 0.2791, 0.0037)  3 Ir 2.96-3.13, 1 S 3.20
Ac (0.9982, 0.7209, 0.9963)  3 Ir 2.96-3.13, 1 S 3.20
Ac (0.3373, 0.3968, 0.6747)  3 Ir 3.05-3.06, 3 S 3.13-3.21
Hg (0.5000, 0.0000, 0.0000)  6 Ac 3.32-3.37
Ir (0.5000, 0.5000, 0.0000)  6 Ac 2.96-3.06
Ir (0.8360, 0.1598, 0.6720)  6 Ac 2.95-3.13
Ir (0.1640, 0.8402, 0.3280)  6 Ac 2.95-3.13
S (0.8282, 0.6531, 0.6564)  6 Ac 3.13-3.23
S (0.1718, 0.3469, 0.3436)  6 Ac 3.13-3.23